# 1
Compound: BaLaS2N
Source: Alexandria via LeMat-Bulk
Functional: PBE
Structure: relaxed

Output
space-group type: P4/mmm, No. 123
uncorrected energy: -5.668 eV/atom
magnetic moment: 1.188 μB per cell
energy above the most stable polymorph in this dataset: 0.00 eV/f.u.
ΔE_f (raw): -0.98 eV per atom

Cell: 5.612 5.612 4.424 Å, 90.00 90.00 90.00°
Site moments in Bohr magnetons follow the coordinates.
Fractional coordinates of all 5 atoms:
S  0.500  0.000  0.000  0.19
S  0.000  0.500  0.000  0.19
N  0.000  0.000  0.500  0.39
La  0.000  0.000  0.000  0.02
Ba  0.500  0.500  0.500  0.00



# 2
Compound: BaCl
Source: Alexandria via LeMat-Bulk
Functional: PBE
Structure: relaxed

Output
space-group type: P-3m1, No. 164
uncorrected energy: -3.654 eV/atom
magnetic moment: 0.000 μB per cell
ΔE_f (raw): -1.77 eV per atom

Cell: 5.052 5.052 8.291 Å, 90.00 90.00 120.00°
Fractional coordinates of all 4 atoms:
Ba  0.000  0.000  0.894
Ba  0.667  0.333  0.356
Cl  0.000  0.000  0.494
Cl  0.667  0.333  0.756



# 3
Compound: Y2ErTe2S2
Source: Alexandria via LeMat-Bulk
Functional: PBE
Structure: relaxed

Output
space-group type: I4/mmm, No. 139
uncorrected energy: -5.949 eV/atom
magnetic moment: 0.359 μB per cell
ΔE_f (raw): -1.37 eV per atom

Cell: 5.017 5.017 8.584 Å, 106.99 106.99 90.00°
Site moments in Bohr magnetons follow the coordinates.
Fractional coordinates of all 7 atoms:
Y  0.387  0.387  0.775  0.10
Y  0.613  0.613  0.225  0.10
Er  0.000  0.000  0.000  0.01
S  0.500  0.000  0.000  0.00
S  0.000  0.500  0.000  0.00
Te  0.189  0.189  0.378  0.00
Te  0.811  0.811  0.622  0.00



# 4
Compound: Nd6Sm3HoEr2
Source: Alexandria via LeMat-Bulk
Functional: PBE
Structure: relaxed

Output
formation energy from the elements: 14 meV per atom
space-group type: C2/m, No. 12
uncorrected energy: -4.692 eV/atom
magnetic moment: 0.000 μB per cell

Cell: 6.295 6.295 11.936 Å, 95.04 95.04 120.00°
Fractional coordinates of all 12 atoms:
Nd  0.584  0.917  0.753
Nd  0.083  0.416  0.247
Nd  0.917  0.584  0.753
Nd  0.750  0.750  0.247
Nd  0.416  0.083  0.247
Nd  0.250  0.250  0.753
Sm  0.167  0.833  0.500
Sm  0.833  0.167  0.500
Sm  0.500  0.500  0.500
Ho  0.000  0.000  0.000
Er  0.667  0.333  0.000
Er  0.333  0.667  0.000



# 5
Compound: FeSiNi2
Source: Alexandria via LeMat-Bulk
Functional: PBE
Structure: relaxed

Output
space-group type: Pmmm, No. 47
uncorrected energy: -6.612 eV/atom
magnetic moment: 3.028 μB per cell
ΔE_f (raw): -0.25 eV per atom

Cell: 2.594 3.487 4.956 Å, 90.00 90.00 90.00°
Site moments in Bohr magnetons follow the coordinates.
Fractional coordinates of all 4 atoms:
Fe  0.500  0.500  0.750  2.52
Si  0.500  0.500  0.250  -0.03
Ni  0.000  0.000  0.003  0.29
Ni  0.000  0.000  0.497  0.29



# 6
Compound: Ba2NaSb
Source: Alexandria via LeMat-Bulk
Functional: PBE
Structure: relaxed

Output
space-group type: R-3m, No. 166
uncorrected energy: -2.776 eV/atom
magnetic moment: 0.001 μB per cell
ΔE_f (raw): -0.45 eV per atom

Cell: 4.937 4.937 12.382 Å, 78.50 78.50 60.00°
Fractional coordinates of all 4 atoms:
Ba  0.885  0.885  0.344
Ba  0.115  0.115  0.656
Sb  0.500  0.500  0.500
Na  0.000  0.000  0.000



Which of these has the lowest uncorrected energy? FeSiNi2